First-principles (PBE) data for crystalline Er3ScAg3Te8 at its relaxed geometry, as listed in Alexandria via LeMat-Bulk.

abc: 8.612 8.613 8.646
angles: 120.01 90.00 120.00
Positions (direct):
Er 0.500 0.000 0.500
Er 0.500 0.500 0.500
Er 0.000 0.500 0.500
Sc 0.000 0.000 0.500
Ag 0.000 0.000 0.000
Ag 0.000 0.500 0.000
Ag 0.500 0.500 0.000
Te 0.249 0.498 0.247
Te 0.751 0.502 0.753
Te 0.756 0.512 0.254
Te 0.244 0.488 0.746
Te 0.756 0.998 0.254
Te 0.244 0.002 0.746
Te 0.242 0.998 0.254
Te 0.758 0.002 0.746

Results
final energy: -66.3 eV per formula unit
symmetry: C2/m
energy relative to the elements, uncorrected: -0.842 eV per atom

=====

First-principles (PBE) data for crystalline YErScAg at its relaxed geometry, as listed in Alexandria via LeMat-Bulk.

abc: 3.513 3.513 8.454
angles: 90.00 90.00 90.00
Positions (direct):
Y 0.500 0.500 0.800
Er 0.500 0.500 0.344
Sc 0.000 0.000 0.075
Ag 0.000 0.000 0.565

Results
final energy: -20.7 eV per formula unit
distance to the lowest polymorph of the same formula: 0 meV/atom
energy of formation from the pure elements: -0.114 eV per atom
symmetry: P4mm

=====

First-principles (PBE) data for crystalline YErScAg at its relaxed geometry, as listed in Alexandria via LeMat-Bulk.

abc: 5.254 5.254 5.254
angles: 60.00 60.00 60.00
Positions (direct):
Y 0.750 0.750 0.750
Sc 0.500 0.500 0.500
Ag 0.000 0.000 0.000
Er 0.250 0.250 0.250

Results
final energy: -20.1 eV per formula unit
distance to the lowest polymorph of the same formula: 144 meV/atom
energy of formation from the pure elements: 0.029 eV per atom
symmetry: F-43m

=====

First-principles (PBE) data for crystalline Er2AgSe at its relaxed geometry, as listed in Alexandria via LeMat-Bulk.

abc: 3.872 3.872 8.038
angles: 76.06 76.06 60.00
Positions (direct):
Er 0.084 0.084 0.748
Er 0.250 0.250 0.251
Ag 0.668 0.668 0.997
Se 0.499 0.499 0.504

Results
final energy: -18.9 eV per formula unit
distance to the lowest polymorph of the same formula: 0 meV/atom
symmetry: R3m
energy relative to the elements, uncorrected: -0.854 eV per atom